Record 1
Compound: LiPdF3
Source: the Alexandria database
Functional: GGA-PBE
Structure: optimized geometry

```
LiPdF3
1.0
5.984 -1.474 0.000
5.984 1.474 0.000
-0.380 0.000 7.160
Li Pd F
2 2 6
direct
0.155 0.155 0.080 Li
0.845 0.845 0.920 Li
0.435 0.435 0.356 Pd
0.565 0.565 0.644 Pd
0.157 0.157 0.510 F
0.321 0.321 0.116 F
0.434 0.434 0.813 F
0.566 0.566 0.187 F
0.679 0.679 0.884 F
0.843 0.843 0.490 F
```

Calculated values
Formation energy from raw total energies ... -1.69 eV per atom
Size of the total moment ... 2.048 Bohr magnetons per cell



Record 2
Compound: Na3In2Hg
Source: the Alexandria database
Functional: GGA-PBE
Structure: optimized geometry

```
Na3In2Hg
1.0
4.690 0.000 0.000
0.000 10.146 0.000
0.000 0.000 6.716
Na In Hg
6 4 2
direct
0.000 0.164 0.000 Na
0.000 0.164 0.486 Na
0.000 0.836 0.500 Na
0.000 0.836 0.986 Na
0.500 0.334 0.744 Na
0.500 0.666 0.244 Na
0.000 0.500 0.494 In
0.000 0.500 0.994 In
0.500 0.344 0.244 In
0.500 0.656 0.744 In
0.500 0.005 0.243 Hg
0.500 0.995 0.743 Hg
```

Calculated values
Size of the total moment ... 0.000 Bohr magnetons per cell
ΔE_f ... -0.14 eV/atom



Record 3
Compound: ZnIr2Pt
Source: the Alexandria database
Functional: GGA-PBE
Structure: optimized geometry

```
ZnIr2Pt
1.0
5.523 0.000 0.000
0.000 7.751 0.000
0.000 0.000 2.749
Zn Ir Pt
2 4 2
direct
0.000 0.000 0.000 Zn
0.500 0.500 0.000 Zn
0.250 0.250 0.500 Ir
0.250 0.750 0.500 Ir
0.750 0.250 0.500 Ir
0.750 0.750 0.500 Ir
0.000 0.500 0.000 Pt
0.500 0.000 0.000 Pt
```

Calculated values
Size of the total moment ... 0.000 Bohr magnetons per cell
ΔE_f ... -0.04 eV/atom



Record 4
Compound: ZnPt2W
Source: the Alexandria database
Functional: GGA-PBE
Structure: optimized geometry

```
ZnPt2W
1.0
4.759 0.000 0.000
0.000 4.759 0.000
0.000 0.000 2.761
Zn Pt W
1 2 1
direct
0.000 0.000 0.000 Zn
0.000 0.500 0.500 Pt
0.500 0.000 0.500 Pt
0.500 0.500 0.000 W
```

Calculated values
Size of the total moment ... 0.000 Bohr magnetons per cell
ΔE_f ... -0.19 eV/atom



Record 5
Compound: KTiIn2Br6
Source: the Alexandria database
Functional: GGA-PBE
Structure: optimized geometry

```
KTiIn2Br6
1.0
7.911 0.000 0.000
-3.954 6.860 0.000
-3.955 -2.283 6.664
K Ti In Br
1 1 2 6
direct
0.000 0.000 0.000 K
0.985 0.492 0.477 Ti
0.575 0.287 0.861 In
0.591 0.796 0.387 In
0.074 0.384 0.239 Br
0.080 0.270 0.692 Br
0.423 0.810 0.692 Br
0.549 0.165 0.239 Br
0.855 0.690 0.238 Br
0.882 0.613 0.692 Br
```

Calculated values
Formation energy from raw total energies ... -1.07 eV per atom
Size of the total moment ... 1.000 Bohr magnetons per cell



Record 6
Compound: Ba8Pd3PtBr4
Source: the Alexandria database
Functional: GGA-PBE
Structure: optimized geometry

```
Ba8Pd3PtBr4
1.0
4.587 2.648 8.381
-4.587 2.648 8.381
0.000 -5.297 8.381
Ba Pd Pt Br
8 3 1 4
direct
0.239 0.239 0.239 Ba
0.241 0.737 0.737 Ba
0.263 0.263 0.759 Ba
0.263 0.759 0.263 Ba
0.737 0.241 0.737 Ba
0.737 0.737 0.241 Ba
0.759 0.263 0.263 Ba
0.761 0.761 0.761 Ba
0.000 0.000 0.500 Pd
0.000 0.500 0.000 Pd
0.500 0.000 0.000 Pd
0.500 0.500 0.500 Pt
0.000 0.000 0.000 Br
0.000 0.500 0.500 Br
0.500 0.000 0.500 Br
0.500 0.500 0.000 Br
```

Calculated values
Formation energy from raw total energies ... -1.16 eV per atom
Size of the total moment ... 0.000 Bohr magnetons per cell



Record 7
Compound: CeCuAs
Source: the Alexandria database
Functional: GGA-PBE
Structure: optimized geometry

```
CeCuAs
1.0
1.987 1.147 8.861
-1.987 1.147 8.861
0.000 -2.295 8.861
Ce Cu As
2 2 2
direct
0.128 0.128 0.128 Ce
0.872 0.872 0.872 Ce
0.303 0.303 0.303 Cu
0.697 0.697 0.697 Cu
0.396 0.396 0.396 As
0.604 0.604 0.604 As
```

Calculated values
Size of the total moment ... 0.174 Bohr magnetons per cell
ΔE_f ... -0.40 eV/atom



Record 8
Compound: Ce5Os2Au
Source: the Alexandria database
Functional: GGA-PBE
Structure: optimized geometry

```
Ce5Os2Au
1.0
-3.894 3.894 6.430
3.894 -3.894 6.430
3.894 3.894 -6.430
Ce Os Au
10 4 2
direct
0.000 0.000 0.000 Ce
0.020 0.520 0.823 Ce
0.198 0.020 0.500 Ce
0.302 0.802 0.823 Ce
0.480 0.302 0.500 Ce
0.500 0.500 0.000 Ce
0.520 0.698 0.500 Ce
0.698 0.198 0.177 Ce
0.802 0.980 0.500 Ce
0.980 0.480 0.177 Ce
0.137 0.363 0.500 Os
0.363 0.863 0.226 Os
0.637 0.137 0.774 Os
0.863 0.637 0.500 Os
0.250 0.250 0.000 Au
0.750 0.750 0.000 Au
```

Calculated values
Size of the total moment ... 3.693 Bohr magnetons per cell
ΔE_f ... -0.33 eV/atom



Record 9
Compound: InSn6Pb2
Source: the Alexandria database
Functional: GGA-PBE
Structure: optimized geometry

```
InSn6Pb2
1.0
4.755 -8.212 0.000
4.755 8.212 0.000
0.000 0.000 3.286
In Sn Pb
1 6 2
direct
0.000 0.000 0.000 In
0.000 0.334 0.500 Sn
0.000 0.666 0.500 Sn
0.334 0.000 0.500 Sn
0.334 0.334 0.500 Sn
0.666 0.000 0.500 Sn
0.666 0.666 0.500 Sn
0.333 0.667 0.000 Pb
0.667 0.333 0.000 Pb
```

Calculated values
Size of the total moment ... 0.000 Bohr magnetons per cell
ΔE_f ... 0.04 eV/atom



Record 10
Compound: Pa3Be6Ni20
Source: the Alexandria database
Functional: GGA-PBE
Structure: optimized geometry

```
Pa3Be6Ni20
1.0
0.000 5.521 5.521
5.521 0.000 5.521
5.521 5.521 0.000
Pa Be Ni
3 6 20
direct
0.000 0.000 0.000 Pa
0.250 0.250 0.250 Pa
0.750 0.750 0.750 Pa
0.272 0.272 0.728 Be
0.272 0.728 0.272 Be
0.272 0.728 0.728 Be
0.728 0.272 0.272 Be
0.728 0.272 0.728 Be
0.728 0.728 0.272 Be
0.000 0.000 0.345 Ni
0.000 0.000 0.655 Ni
0.000 0.345 0.000 Ni
0.000 0.345 0.655 Ni
0.000 0.655 0.000 Ni
0.000 0.655 0.345 Ni
0.150 0.617 0.617 Ni
0.345 0.000 0.000 Ni
0.345 0.000 0.655 Ni
0.345 0.655 0.000 Ni
0.383 0.383 0.383 Ni
0.383 0.383 0.850 Ni
0.383 0.850 0.383 Ni
0.617 0.150 0.617 Ni
0.617 0.617 0.150 Ni
0.617 0.617 0.617 Ni
0.655 0.000 0.000 Ni
0.655 0.000 0.345 Ni
0.655 0.345 0.000 Ni
0.850 0.383 0.383 Ni
```

Calculated values
Size of the total moment ... 0.000 Bohr magnetons per cell
ΔE_f ... -0.36 eV/atom



Record 11
Compound: CrGaRuRh
Source: the Alexandria database
Functional: GGA-PBE
Structure: optimized geometry

```
CrGaRuRh
1.0
6.029 0.000 0.000
0.000 6.029 0.000
0.000 0.000 6.029
Cr Ga Ru Rh
4 4 4 4
direct
0.000 0.000 0.000 Cr
0.000 0.500 0.500 Cr
0.500 0.000 0.500 Cr
0.500 0.500 0.000 Cr
0.000 0.000 0.500 Ga
0.000 0.500 0.000 Ga
0.500 0.000 0.000 Ga
0.500 0.500 0.500 Ga
0.250 0.250 0.250 Ru
0.250 0.750 0.750 Ru
0.750 0.250 0.750 Ru
0.750 0.750 0.250 Ru
0.250 0.250 0.750 Rh
0.250 0.750 0.250 Rh
0.750 0.250 0.250 Rh
0.750 0.750 0.750 Rh
```

Calculated values
Size of the total moment ... 8.353 Bohr magnetons per cell
ΔE_f ... -0.31 eV/atom



Record 12
Compound: Li4NdCd8
Source: the Alexandria database
Functional: GGA-PBE
Structure: optimized geometry

```
Li4NdCd8
1.0
-5.024 5.024 2.644
5.024 -5.024 2.644
5.024 5.024 -2.644
Li Nd Cd
4 1 8
direct
0.000 0.000 0.500 Li
0.000 0.500 0.000 Li
0.500 0.000 0.000 Li
0.500 0.500 0.500 Li
0.000 0.000 0.000 Nd
0.000 0.350 0.350 Cd
0.000 0.650 0.650 Cd
0.286 0.500 0.786 Cd
0.350 0.000 0.350 Cd
0.500 0.286 0.786 Cd
0.500 0.714 0.214 Cd
0.650 0.000 0.650 Cd
0.714 0.500 0.214 Cd
```

Calculated values
Size of the total moment ... 0.000 Bohr magnetons per cell
ΔE_f ... -0.25 eV/atom



Record 13
Compound: Cu2SiMo
Source: the Alexandria database
Functional: GGA-PBE
Structure: optimized geometry

```
Cu2SiMo
1.0
3.891 0.000 0.000
0.000 2.688 0.000
0.000 0.000 10.142
Cu Si Mo
4 2 2
direct
0.000 0.000 0.000 Cu
0.000 0.500 0.500 Cu
0.500 0.000 0.400 Cu
0.500 0.500 0.900 Cu
0.000 0.000 0.259 Si
0.000 0.500 0.759 Si
0.500 0.000 0.657 Mo
0.500 0.500 0.157 Mo
```

Calculated values
Formation energy from raw total energies ... -0.01 eV per atom
Size of the total moment ... 0.000 Bohr magnetons per cell



Record 14
Compound: KNbCl6
Source: the Alexandria database
Functional: GGA-PBE
Structure: optimized geometry

```
KNbCl6
1.0
7.104 0.000 0.000
0.000 10.536 0.000
-0.013 0.000 7.112
K Nb Cl
2 2 12
direct
0.242 0.000 0.275 K
0.758 0.500 0.725 K
0.245 0.251 0.763 Nb
0.755 0.751 0.237 Nb
0.037 0.756 0.059 Cl
0.060 0.253 0.481 Cl
0.238 0.024 0.760 Cl
0.255 0.477 0.760 Cl
0.425 0.246 0.044 Cl
0.474 0.746 0.422 Cl
0.526 0.246 0.578 Cl
0.575 0.746 0.956 Cl
0.745 0.977 0.240 Cl
0.762 0.524 0.240 Cl
0.940 0.753 0.519 Cl
0.963 0.256 0.941 Cl
```

Calculated values
Formation energy from raw total energies ... -1.45 eV per atom
Size of the total moment ... 0.000 Bohr magnetons per cell